Here is a relaxed structure of Ba2Cr3F10 from Alexandria via LeMat-Bulk. Energies are from PBE with a Hubbard U.

The structure in POSCAR format:
```
Ba2Cr3F10
1.0
9.455 -3.291 0.000
9.455 3.291 0.000
-2.911 0.000 7.408
Ba Cr F
4 6 20
direct
0.112 0.112 0.213 Ba
0.197 0.233 0.819 Ba
0.767 0.803 0.181 Ba
0.888 0.888 0.787 Ba
0.212 0.788 0.500 Cr
0.321 0.321 0.480 Cr
0.404 0.439 0.038 Cr
0.561 0.596 0.962 Cr
0.679 0.679 0.520 Cr
0.732 0.268 0.500 Cr
0.032 0.447 0.453 F
0.086 0.693 0.476 F
0.121 0.572 0.049 F
0.226 0.774 0.000 F
0.305 0.421 0.754 F
0.307 0.914 0.524 F
0.341 0.184 0.224 F
0.428 0.879 0.951 F
0.452 0.499 0.313 F
0.501 0.548 0.687 F
0.553 0.968 0.547 F
0.579 0.695 0.246 F
0.582 0.090 0.978 F
0.632 0.152 0.494 F
0.681 0.319 0.000 F
0.816 0.659 0.776 F
0.848 0.368 0.506 F
0.910 0.418 0.022 F
0.949 0.008 0.300 F
0.992 0.051 0.700 F
```

Summary:
Space group = C2 (5)
Uncorrected energy = -182.17 eV/cell
DOS at the Fermi energy = 0.000 states/eV per cell
Spin magnetization = 24.0 μB per cell